Entry 1:
The following is a PBE calculation of crystalline BeSN2 at its relaxed geometry, from Alexandria.

D(E_F): 1.1 states/eV/cell
E: -0.315 Ry per atom

abc: 3.6419 3.6419 3.6419
angles: 60.00 60.00 60.00
Element x y z (fractional)
Be 0.0000 0.0000 0.0000
S 0.5000 0.5000 0.5000
N 0.2500 0.2500 0.2500
N 0.7500 0.7500 0.7500


Entry 2:
The following is a PBE calculation of crystalline BeS2N at its relaxed geometry, from Alexandria.

D(E_F): 3.1 states/eV/cell
E: -0.327 Ry per atom

abc: 6.3027 6.3027 6.3027
angles: 137.56 137.56 61.57
Element x y z (fractional)
Be 0.0000 0.0000 0.0000
Be 0.7500 0.2500 0.5000
S 0.1365 0.6250 0.0115
S 0.3750 0.3865 0.5115
S 0.6135 0.1250 0.9885
S 0.8750 0.8635 0.4885
N 0.2500 0.7500 0.5000
N 0.5000 0.5000 0.0000


Entry 3:
The following is a PBE calculation of crystalline BeSN3 at its relaxed geometry, from Alexandria.

D(E_F): 1.8 states/eV/cell
E: -0.347 Ry per atom

abc: 3.4130 3.4130 3.4130
angles: 90.00 90.00 90.00
Element x y z (fractional)
Be 0.0000 0.0000 0.0000
S 0.5000 0.5000 0.5000
N 0.0000 0.5000 0.5000
N 0.5000 0.0000 0.5000
N 0.5000 0.5000 0.0000


Entry 4:
The following is a PBE calculation of crystalline BeS2N at its relaxed geometry, from Alexandria.

D(E_F): 2.9 states/eV/cell
E: -0.259 Ry per atom

abc: 4.0293 4.0293 4.0293
angles: 60.00 60.00 60.00
Element x y z (fractional)
Be 0.0000 0.0000 0.0000
S 0.2500 0.2500 0.2500
S 0.7500 0.7500 0.7500
N 0.5000 0.5000 0.5000


Entry 5:
The following is a PBE calculation of crystalline BeS2N2 at its relaxed geometry, from Alexandria.

D(E_F): 3.6 states/eV/cell
E: -0.287 Ry per atom

abc: 3.9267 3.9267 3.6306
angles: 90.00 90.00 90.00
Element x y z (fractional)
Be 0.0000 0.0000 0.0000
S 0.0000 0.5000 0.5000
S 0.5000 0.0000 0.5000
N 0.5000 0.5000 0.0000
N 0.5000 0.5000 0.5000


Entry 6:
The following is a PBE calculation of crystalline BeS2N2 at its relaxed geometry, from Alexandria.

D(E_F): 1.6 states/eV/cell
E: -0.332 Ry per atom

abc: 3.2634 3.2634 7.4380
angles: 90.00 90.00 90.00
Element x y z (fractional)
Be 0.0000 0.0000 0.0000
S 0.5000 0.5000 0.0000
S 0.5000 0.5000 0.5000
N 0.0000 0.5000 0.5000
N 0.5000 0.0000 0.5000


Entry 7:
The following is a PBE calculation of crystalline BeSbS2N at its relaxed geometry, from Alexandria.

D(E_F): 3.0 states/eV/cell
E: -0.272 Ry per atom

abc: 5.0510 5.0510 3.8671
angles: 90.00 90.00 90.00
Element x y z (fractional)
Be 0.0000 0.0000 0.0000
Sb 0.5000 0.5000 0.5000
S 0.0000 0.5000 0.5000
S 0.5000 0.0000 0.5000
N 0.5000 0.5000 0.0000


Entry 8:
The following is a PBE calculation of crystalline BeSbS2N at its relaxed geometry, from Alexandria.

D(E_F): 2.9 states/eV/cell
E: -0.327 Ry per atom

abc: 4.7547 4.7547 3.3477
angles: 90.00 90.00 90.00
Element x y z (fractional)
Be 0.0000 0.0000 0.0000
Sb 0.5000 0.5000 0.5000
S 0.0000 0.5000 0.0000
S 0.5000 0.0000 0.0000
N 0.0000 0.0000 0.5000


Entry 9:
The following is a PBE calculation of crystalline ScBeS2N at its relaxed geometry, from Alexandria.

D(E_F): 2.8 states/eV/cell
E: -0.355 Ry per atom

abc: 4.9562 4.9562 4.0824
angles: 90.00 90.00 90.00
Element x y z (fractional)
Sc 0.0000 0.0000 0.0000
Be 0.5000 0.5000 0.5000
S 0.0000 0.5000 0.0000
S 0.5000 0.0000 0.0000
N 0.0000 0.0000 0.5000


Entry 10:
The following is a PBE calculation of crystalline ScBeSN2 at its relaxed geometry, from Alexandria.

D(E_F): 2.1 states/eV/cell
E: -0.384 Ry per atom

abc: 3.9399 3.9399 5.4170
angles: 90.00 90.00 90.00
Element x y z (fractional)
Sc 0.0000 0.0000 0.0000
Be 0.5000 0.5000 0.5000
S 0.0000 0.0000 0.5000
N 0.0000 0.5000 0.0000
N 0.5000 0.0000 0.0000


Entry 11:
The following is a PBE calculation of crystalline ScBeSN2 at its relaxed geometry, from Alexandria.

D(E_F): 3.1 states/eV/cell
E: -0.446 Ry per atom

abc: 3.5039 3.5039 4.7946
angles: 90.00 90.00 90.00
Element x y z (fractional)
Sc 0.0000 0.0000 0.0000
Be 0.5000 0.5000 0.5000
S 0.5000 0.5000 0.0000
N 0.0000 0.5000 0.5000
N 0.5000 0.0000 0.5000


Entry 12:
The following is a PBE calculation of crystalline ScBeS2N at its relaxed geometry, from Alexandria.

D(E_F): 3.1 states/eV/cell
E: -0.414 Ry per atom

abc: 4.5561 4.5561 3.3075
angles: 90.00 90.00 90.00
Element x y z (fractional)
Sc 0.0000 0.0000 0.0000
Be 0.5000 0.5000 0.5000
S 0.0000 0.5000 0.5000
S 0.5000 0.0000 0.5000
N 0.5000 0.5000 0.0000


Entry 13:
The following is a PBE calculation of crystalline BeSeS2N at its relaxed geometry, from Alexandria.

D(E_F): 2.4 states/eV/cell
E: -0.250 Ry per atom

abc: 4.8442 4.8442 3.6240
angles: 90.00 90.00 90.00
Element x y z (fractional)
Be 0.0000 0.0000 0.0000
Se 0.5000 0.5000 0.5000
S 0.0000 0.5000 0.5000
S 0.5000 0.0000 0.5000
N 0.5000 0.5000 0.0000


Entry 14:
The following is a PBE calculation of crystalline BeSeS2N at its relaxed geometry, from Alexandria.

D(E_F): 4.6 states/eV/cell
E: -0.294 Ry per atom

abc: 4.6659 4.6659 3.2104
angles: 90.00 90.00 90.00
Element x y z (fractional)
Be 0.0000 0.0000 0.0000
Se 0.5000 0.5000 0.5000
S 0.0000 0.5000 0.0000
S 0.5000 0.0000 0.0000
N 0.0000 0.0000 0.5000


Entry 15:
The following is a PBE calculation of crystalline BeSnSN2 at its relaxed geometry, from Alexandria.

D(E_F): 2.3 states/eV/cell
E: -0.347 Ry per atom

abc: 3.6200 3.6200 5.0599
angles: 90.00 90.00 90.00
Element x y z (fractional)
Be 0.0000 0.0000 0.0000
Sn 0.5000 0.5000 0.5000
S 0.0000 0.0000 0.5000
N 0.0000 0.5000 0.0000
N 0.5000 0.0000 0.0000


Entry 16:
The following is a PBE calculation of crystalline BeSnSN2 at its relaxed geometry, from Alexandria.

D(E_F): 2.5 states/eV/cell
E: -0.305 Ry per atom

abc: 4.0022 4.0022 5.5146
angles: 90.00 90.00 90.00
Element x y z (fractional)
Be 0.0000 0.0000 0.0000
Sn 0.5000 0.5000 0.5000
S 0.5000 0.5000 0.0000
N 0.0000 0.5000 0.5000
N 0.5000 0.0000 0.5000


Entry 17:
The following is a PBE calculation of crystalline SrBeSN2 at its relaxed geometry, from Alexandria.

D(E_F): 4.3 states/eV/cell
E: -0.357 Ry per atom

abc: 3.9369 3.9369 4.5057
angles: 90.00 90.00 90.00
Element x y z (fractional)
Sr 0.0000 0.0000 0.0000
Be 0.5000 0.5000 0.5000
S 0.5000 0.5000 0.0000
N 0.0000 0.5000 0.5000
N 0.5000 0.0000 0.5000


Entry 18:
The following is a PBE calculation of crystalline SrBeSN2 at its relaxed geometry, from Alexandria.

D(E_F): 2.3 states/eV/cell
E: -0.246 Ry per atom

abc: 4.7613 4.7613 5.9108
angles: 90.00 90.00 90.00
Element x y z (fractional)
Sr 0.0000 0.0000 0.0000
Be 0.5000 0.5000 0.5000
S 0.0000 0.0000 0.5000
N 0.0000 0.5000 0.0000
N 0.5000 0.0000 0.0000


Entry 19:
The following is a PBE calculation of crystalline BeTe2SN at its relaxed geometry, from Alexandria.

D(E_F): 3.0 states/eV/cell
E: -0.248 Ry per atom

abc: 5.4745 5.4745 3.3547
angles: 90.00 90.00 90.00
Element x y z (fractional)
Be 0.0000 0.0000 0.0000
Te 0.0000 0.5000 0.5000
Te 0.5000 0.0000 0.5000
S 0.5000 0.5000 0.5000
N 0.5000 0.5000 0.0000


Entry 20:
The following is a PBE calculation of crystalline BeTeSN2 at its relaxed geometry, from Alexandria.

D(E_F): 1.8 states/eV/cell
E: -0.301 Ry per atom

abc: 3.4497 3.4497 8.0121
angles: 90.00 90.00 90.00
Element x y z (fractional)
Be 0.0000 0.0000 0.0000
Te 0.5000 0.5000 0.0000
S 0.5000 0.5000 0.5000
N 0.0000 0.5000 0.5000
N 0.5000 0.0000 0.5000